Computed, not measured: a geometry-optimized ErSeS structure at the PBE-GGA level of DFT.

As for the raw formation energy: -1.38 eV/atom. The calculation puts the energy above the lowest structure with this stoichiometry at 26.72 kJ per mole of atoms.

It has space group Cmce (No. 64), with a = 7.237 Å, b = 11.323 Å, c = 7.294 Å, α = 90.00°, β = 90.00° and γ = 90.00°. The asymmetric unit holds Er at (0.250, 0.016, 0.250), Se at (0.000, 0.125, 0.532) and S at (0.000, 0.126, 0.036).


Computed, not measured: a geometry-optimized IrRuRh structure at the PBE-GGA level of DFT.

For the formation energy, the calculation gives -0.01 eV per atom. The calculation puts the energy above the lowest structure with this stoichiometry at 0.20 kJ per mole of atoms.

It has space group Imm2 (No. 44), with a = 2.720 Å, b = 3.832 Å, c = 8.171 Å, α = 90.00°, β = 90.00° and γ = 90.00°. The asymmetric unit holds Ir at (0.000, 0.000, 0.000), Ru at (0.000, 0.000, 0.340) and Rh at (0.000, 0.000, 0.671).


Computed, not measured: a geometry-optimized Er2Ni3Ge4Ir structure at the PBE-GGA level of DFT.

For the formation energy, the calculation gives -0.70 eV per atom.

It has space group P-4m2 (No. 115), with a = 4.050 Å, b = 4.050 Å, c = 9.934 Å, α = 90.00°, β = 90.00° and γ = 90.00°. The asymmetric unit holds Er at (0.000, 0.500, 0.244), Ni at (0.000, 0.500, 0.874), Ni at (0.500, 0.500, 0.500), Ge at (0.000, 0.000, 0.000), Ge at (0.000, 0.500, 0.642), Ge at (0.500, 0.500, 0.000) and Ir at (0.000, 0.000, 0.500).


Computed, not measured: a geometry-optimized CoRh2 structure at the PBE-GGA level of DFT.

For the formation energy, the calculation gives 0.06 eV per atom.

It has space group I4/mmm (No. 139), with a = 2.687 Å, b = 2.687 Å, c = 10.973 Å, α = 90.00°, β = 90.00° and γ = 90.00°. The asymmetric unit holds Co at (0.000, 0.000, 0.000) and Rh at (0.000, 0.000, 0.340).


Computed, not measured: a geometry-optimized Cs3Sr2OsO6 structure at the PBE-GGA level of DFT.

As for the raw formation energy: -1.67 eV/atom.

It has space group C2/m (No. 12), with a = 6.281 Å, b = 10.880 Å, c = 7.041 Å, α = 90.00°, β = 106.90° and γ = 90.00°. The asymmetric unit holds Cs at (0.000, 0.000, 0.000), Cs at (0.000, 0.334, 0.000), Sr at (0.000, 0.167, 0.500), Os at (0.000, 0.500, 0.500), O at (0.192, 0.364, 0.666) and O at (0.217, 0.500, 0.329).


Computed, not measured: a geometry-optimized BeAl2 structure at the PBE-GGA level of DFT.

For the formation energy, the calculation gives 0.19 eV per atom.

It has space group Immm (No. 71), with a = 2.705 Å, b = 3.671 Å, c = 8.474 Å, α = 90.00°, β = 90.00° and γ = 90.00°. The asymmetric unit holds Be at (0.000, 0.000, 0.000) and Al at (0.000, 0.000, 0.343).


Computed, not measured: a geometry-optimized CaSm2Th structure at the PBE-GGA level of DFT.

For the formation energy, the calculation gives 0.23 eV per atom. The calculation puts the energy above the lowest structure with this stoichiometry at 18.17 kJ per mole of atoms.

It has space group Fm-3m (No. 225), with a = 8.210 Å, b = 8.210 Å, c = 8.210 Å, α = 90.00°, β = 90.00° and γ = 90.00°. The asymmetric unit holds Ca at (0.000, 0.000, 0.000), Sm at (0.250, 0.250, 0.250) and Th at (0.000, 0.000, 0.500).


Computed, not measured: a geometry-optimized Ca2LaBiPd structure at the PBE-GGA level of DFT.

For the formation energy, the calculation gives -0.55 eV per atom.

It has space group P4/mmm (No. 123), with a = 5.515 Å, b = 5.515 Å, c = 5.535 Å, α = 90.00°, β = 90.00° and γ = 90.00°. The asymmetric unit holds Ca at (0.000, 0.500, 0.000), La at (0.000, 0.000, 0.500), Bi at (0.500, 0.500, 0.500) and Pd at (0.000, 0.000, 0.000).